1.
{"formula": "SrEu2I", "functional": "PBE", "state": "optimized geometry", "lattice": [[3.986, 0.000, 0.000], [0.000, 3.986, 0.000], [0.000, 0.000, 10.755]], "species": ["Sr", "Eu", "Eu", "I"], "frac_coords": [[0.000, 0.000, 0.000], [0.500, 0.500, 0.291], [0.500, 0.500, 0.709], [0.000, 0.000, 0.500]], "e_form_raw_ev_per_atom": -0.482, "sg": "P4/mmm, No. 123", "dos_ef_per_ev_cell": 3.956, "total_energy_ev_per_atom": -6.43}

2.
{"formula": "AlSi2Ni3", "functional": "PBE", "state": "optimized geometry", "lattice": [[1.705, -5.675, 0.000], [1.705, 5.675, 0.000], [0.000, 0.000, 3.580]], "species": ["Al", "Si", "Si", "Ni", "Ni", "Ni"], "frac_coords": [[0.000, 0.000, 0.000], [0.167, 0.833, 0.500], [0.833, 0.167, 0.500], [0.331, 0.669, 0.000], [0.500, 0.500, 0.500], [0.669, 0.331, 0.000]], "e_form_raw_ev_per_atom": -0.428, "relative_energy_mev_per_atom": 41.3, "sg": "Cmmm, No. 65", "dos_ef_per_ev_cell": 3.055, "total_energy_ev_per_atom": -5.75}

3.
{"formula": "V3Ga2Ge", "functional": "PBE", "state": "optimized geometry", "lattice": [[3.933, -4.936, 0.000], [3.933, 4.936, 0.000], [0.000, 0.000, 4.691]], "species": ["V", "V", "V", "V", "V", "V", "Ga", "Ga", "Ga", "Ga", "Ge", "Ge"], "frac_coords": [[0.133, 0.543, 0.250], [0.197, 0.803, 0.750], [0.457, 0.867, 0.250], [0.543, 0.133, 0.750], [0.803, 0.197, 0.250], [0.867, 0.457, 0.750], [0.267, 0.399, 0.750], [0.399, 0.267, 0.250], [0.601, 0.733, 0.750], [0.733, 0.601, 0.250], [0.069, 0.931, 0.250], [0.931, 0.069, 0.750]], "sg": "Cmcm, No. 63", "dos_ef_per_ev_cell": 11.087, "total_energy_ev_per_atom": -6.27}

4.
{"formula": "SmZr2Zn", "functional": "PBE", "state": "optimized geometry", "lattice": [[0.000, 3.580, 3.580], [3.580, 0.000, 3.580], [3.580, 3.580, 0.000]], "species": ["Sm", "Zr", "Zr", "Zn"], "frac_coords": [[0.000, 0.000, 0.000], [0.250, 0.250, 0.250], [0.500, 0.500, 0.500], [0.750, 0.750, 0.750]], "relative_energy_mev_per_atom": 124.5, "sg": "F-43m, No. 216", "dos_ef_per_ev_cell": 5.492, "total_energy_ev_per_atom": -5.68}